The following is a PBE-GGA calculation of a relaxed structure of AcZn4Ru, from the Alexandria database.

Computed properties:
Calculated density in g/cm³: 8.97
DFT formation energy in eV per atom: -0.07
Excess energy over the best structure of this formula in the dataset in meV per atom: 126
M_tot in μB/f.u.: 0.06

Cell lengths 5.364, 5.364, 5.364 Å; angles 60.00, 60.00, 60.00 degrees
Atoms (fractional coordinates):
Ru  0.250  0.250  0.250
Ac  0.000  0.000  0.000
Zn  0.622  0.622  0.133
Zn  0.622  0.133  0.622
Zn  0.622  0.622  0.622
Zn  0.133  0.622  0.622



The following is a PBE-GGA calculation of a relaxed structure of CrCd2SnP, from the Alexandria database.

Computed properties:
Calculated density in g/cm³: 5.89
DFT formation energy in eV per atom: 0.36
M_tot in μB/f.u.: 3.15

Cell lengths 5.130, 4.569, 5.130 Å; angles 90.00, 90.00, 90.00 degrees
Atoms (fractional coordinates):
Cr  0.000  0.500  0.000
Sn  0.500  0.500  0.500
P  0.000  0.000  0.000
Cd  0.000  0.000  0.500
Cd  0.500  0.000  0.000



The following is a PBE-GGA calculation of a relaxed structure of PmZn2Ag8, from the Alexandria database.

Computed properties:
Calculated density in g/cm³: 8.77
DFT formation energy in eV per atom: 0.02
M_tot in μB/f.u.: 0.00

Cell lengths 4.937, 7.370, 7.370 Å; angles 115.38, 104.12, 104.12 degrees
Atoms (fractional coordinates):
Pm  0.500  0.000  0.000
Zn  0.000  0.688  0.312
Zn  0.000  0.312  0.688
Ag  0.127  0.080  0.324
Ag  0.127  0.324  0.080
Ag  0.308  0.577  0.577
Ag  0.500  0.238  0.762
Ag  0.500  0.762  0.238
Ag  0.692  0.423  0.423
Ag  0.873  0.676  0.920
Ag  0.873  0.920  0.676



The following is a PBE-GGA calculation of a relaxed structure of Ho2MnZn12Co3, from the Alexandria database.

Computed properties:
Calculated density in g/cm³: 7.91
DFT formation energy in eV per atom: 0.05
M_tot in μB/f.u.: 4.23

Cell lengths 6.591, 6.591, 6.591 Å; angles 84.44, 84.44, 84.44 degrees
Atoms (fractional coordinates):
Ho  0.763  0.763  0.763
Ho  0.237  0.237  0.237
Mn  0.000  0.000  0.000
Zn  0.430  0.430  0.843
Zn  0.804  0.804  0.279
Zn  0.279  0.804  0.804
Zn  0.843  0.430  0.430
Zn  0.804  0.279  0.804
Zn  0.430  0.843  0.430
Zn  0.570  0.570  0.157
Zn  0.196  0.196  0.721
Zn  0.721  0.196  0.196
Zn  0.157  0.570  0.570
Zn  0.196  0.721  0.196
Zn  0.570  0.157  0.570
Co  0.500  0.000  0.000
Co  0.000  0.500  0.000
Co  0.000  0.000  0.500



- Which formula does entry 3 have?
  PmZn2Ag8



- Among the records above, which one has the lowest M_tot?
  PmZn2Ag8



- Which of these has the lowest DFT formation energy?
  AcZn4Ru



Please write out number 1 again, unchanged.
The following is a PBE-GGA calculation of a relaxed structure of AcZn4Ru, from the Alexandria database.

Computed properties:
Calculated density in g/cm³: 8.97
DFT formation energy in eV per atom: -0.07
Excess energy over the best structure of this formula in the dataset in meV per atom: 126
M_tot in μB/f.u.: 0.06

Cell lengths 5.364, 5.364, 5.364 Å; angles 60.00, 60.00, 60.00 degrees
Atoms (fractional coordinates):
Ru  0.250  0.250  0.250
Ac  0.000  0.000  0.000
Zn  0.622  0.622  0.133
Zn  0.622  0.133  0.622
Zn  0.622  0.622  0.622
Zn  0.133  0.622  0.622